No. 1
This record from the Alexandria database describes an optimized crystal structure of DyHoIrPt. The functional is PBE.

## Properties
E above lowest polymorph = 0.015 eV per atom
Space group = F-43m
Total moment = 0.00 μB per cell
Formation enthalpy at 0 K = -1.036 eV/atom
Calculated volume = 20.55 Å³ per atom

a b c (Å): 4.8808 4.8808 4.8808
angles (deg): 60.00 60.00 60.00
Last column: nearest neighbours and their distance in Å.
Fractional coordinates of all 4 atoms:
Dy  0.5000  0.5000  0.5000  4 Pt 2.99, 4 Ir 2.99
Pt  0.7500  0.7500  0.7500  4 Dy 2.99, 4 Ho 2.99
Ho  0.0000  0.0000  0.0000  4 Ir 2.99, 4 Pt 2.99
Ir  0.2500  0.2500  0.2500  4 Dy 2.99, 4 Ho 2.99



No. 2
This record from the Alexandria database describes an optimized crystal structure of DyHoSiIr. The functional is PBE.

## Properties
Formation energy without anion corrections = -0.875 eV per atom
Space group = Amm2
Total moment = 0.00 μB per cell
Calculated volume = 21.78 Å³ per atom

a b c (Å): 4.1647 3.9707 5.6642
angles (deg): 90.00 111.57 90.00
Last column: nearest neighbours and their distance in Å.
Fractional coordinates of all 4 atoms:
Dy  0.1445  0.0000  0.2890  3 Ir 2.96-3.11, 4 Si 2.99
Si  0.5687  0.5000  0.1374  2 Ir 2.49
Ho  0.8613  0.5000  0.7225  4 Ir 2.96, 3 Si 3.02-3.08
Ir  0.4255  0.0000  0.8510  2 Si 2.49



No. 3
This record from the Alexandria database describes an optimized crystal structure of Dy2Ho2Si4Ir. The functional is PBE.

## Properties
Formation energy without anion corrections = -0.379 eV per atom
Space group = I4/mmm
Total moment = 0.00 μB per cell
Calculated volume = 22.03 Å³ per atom

a b c (Å): 6.4330 6.4330 6.4330
angles (deg): 97.30 115.88 115.88
Last column: nearest neighbours and their distance in Å.
Fractional coordinates of all 9 atoms:
Dy  0.5000  0.2500  0.7500  8 Si 3.22, 4 Ho 3.46
Dy  0.5000  0.7500  0.2500  8 Si 3.22, 4 Ho 3.46
Ho  0.0000  0.3123  0.3123  1 Ir 2.65, 4 Si 2.91
Ho  0.0000  0.6877  0.6877  1 Ir 2.65, 4 Si 2.91
Si  0.4963  0.2482  0.2482  1 Ir 2.40
Si  0.0000  0.2482  0.7518  1 Ir 2.40
Si  0.5037  0.7518  0.7518  1 Ir 2.40
Si  0.0000  0.7518  0.2482  1 Ir 2.40
Ir  0.0000  0.0000  0.0000  4 Si 2.40, 2 Ho 2.65



Among the records above, which one has the lowest calculated volume? DyHoIrPt



Which value of calculated volume does entry 2 give? 21.78 Å³ per atom